Entry 1:
Computed, not measured: a relaxed structure of PmHo3Er8 at the GGA-PBE level of DFT.

Lattice parameters (Å, degrees): 8.372 8.377 8.368 96.26 136.25 99.71
Element x y z (fractional)
Ho1 0.833 0.500 0.333
Ho2 0.500 0.251 0.751
Ho3 0.500 0.749 0.249
Er1 0.499 0.666 0.833
Er2 0.165 0.832 0.332
Er3 0.168 0.916 0.750
Er4 0.167 0.334 0.833
Er5 0.834 0.084 0.252
Er6 0.834 0.581 0.749
Er7 0.168 0.418 0.252
Er8 0.500 0.168 0.332
Pm1 0.834 0.000 0.833

Output
DOS at the Fermi energy in states/eV/f.u.: 21.63
Symmetry: No. 8
Formation energy in eV/atom: 0.005

---

Entry 2:
Computed, not measured: a relaxed structure of Pm2HoEr3 at the GGA-PBE level of DFT.

Lattice parameters (Å, degrees): 3.493 9.037 12.908 78.07 82.22 78.86
Element x y z (fractional)
Pm1 0.344 0.843 0.469
Pm2 0.820 0.479 0.881
Pm3 0.180 0.521 0.119
Pm4 0.656 0.157 0.531
Er1 0.598 0.829 0.974
Er2 0.039 0.132 0.790
Er3 0.961 0.868 0.210
Er4 0.262 0.183 0.292
Er5 0.402 0.171 0.026
Er6 0.738 0.817 0.708
Ho1 0.563 0.517 0.357
Ho2 0.437 0.483 0.643

Output
DOS at the Fermi energy in states/eV/f.u.: 9.56
Polymorph energy (0 for the lowest one) in meV per atom: 9
Symmetry: No. 12
Formation energy in eV/atom: 0.121

---

Entry 3:
Computed, not measured: a relaxed structure of Pm6Ho12Er at the GGA-PBE level of DFT.

Lattice parameters (Å, degrees): 8.644 8.644 8.644 79.61 79.61 79.61
Element x y z (fractional)
Pm1 0.838 0.232 0.232
Pm2 0.232 0.838 0.232
Pm3 0.768 0.162 0.768
Pm4 0.768 0.768 0.162
Pm5 0.162 0.768 0.768
Pm6 0.232 0.232 0.838
Ho1 0.137 0.487 0.137
Ho2 0.486 0.804 0.486
Ho3 0.513 0.863 0.863
Ho4 0.514 0.514 0.196
Ho5 0.486 0.486 0.804
Ho6 0.863 0.863 0.513
Ho7 0.514 0.196 0.514
Ho8 0.137 0.137 0.487
Ho9 0.487 0.137 0.137
Ho10 0.804 0.486 0.486
Ho11 0.863 0.513 0.863
Ho12 0.196 0.514 0.514
Er1 0.000 0.000 0.000

Output
DOS at the Fermi energy in states/eV/f.u.: 28.97
Polymorph energy (0 for the lowest one) in meV per atom: 0
Symmetry: No. 166
Formation energy in eV/atom: 0.124

---

Entry 4:
Computed, not measured: a relaxed structure of Pm7Ho3Er at the GGA-PBE level of DFT.

Lattice parameters (Å, degrees): 5.873 8.526 8.526 83.01 110.19 110.19
Element x y z (fractional)
Pm1 0.789 0.791 0.791
Pm2 0.000 0.500 0.500
Pm3 0.693 0.403 0.983
Pm4 0.307 0.597 0.017
Pm5 0.693 0.983 0.403
Pm6 0.211 0.209 0.209
Pm7 0.307 0.017 0.597
Ho1 0.000 0.205 0.795
Ho2 0.500 0.000 0.000
Ho3 0.000 0.795 0.205
Er1 0.500 0.500 0.500

Output
DOS at the Fermi energy in states/eV/f.u.: 14.86
Polymorph energy (0 for the lowest one) in meV per atom: 116
Symmetry: No. 12
Formation energy in eV/atom: 0.236

---

Entry 5:
Computed, not measured: a relaxed structure of Pm5Ho2Er2 at the GGA-PBE level of DFT.

Lattice parameters (Å, degrees): 12.832 6.189 10.366 107.37 128.24 90.00
Element x y z (fractional)
Pm1 0.251 0.744 0.902
Pm2 0.541 0.309 0.712
Pm3 0.849 0.341 0.098
Pm4 0.927 0.294 0.500
Pm5 0.073 0.794 0.500
Pm6 0.671 0.809 0.712
Pm7 0.151 0.244 0.902
Pm8 0.749 0.841 0.098
Pm9 0.459 0.597 0.288
Pm10 0.329 0.097 0.288
Er1 0.414 0.813 0.730
Er2 0.586 0.083 0.270
Er3 0.184 0.583 0.270
Er4 0.816 0.313 0.730
Ho1 0.500 0.387 0.000
Ho2 0.805 0.767 0.500
Ho3 0.000 0.887 0.000
Ho4 0.195 0.267 0.500

Output
DOS at the Fermi energy in states/eV/f.u.: 11.67
Polymorph energy (0 for the lowest one) in meV per atom: 158
Symmetry: No. 46
Formation energy in eV/atom: 0.176

---

Entry 6:
Computed, not measured: a relaxed structure of Pm5HoEr2 at the GGA-PBE level of DFT.

Lattice parameters (Å, degrees): 5.085 7.193 14.388 90.00 90.00 90.00
Element x y z (fractional)
Pm1 0.500 0.749 0.124
Pm2 0.500 0.249 0.376
Pm3 0.000 0.501 0.751
Pm4 0.000 0.000 0.000
Pm5 0.500 0.751 0.624
Pm6 0.000 0.999 0.251
Pm7 0.000 0.500 0.500
Pm8 0.500 0.251 0.876
Pm9 0.000 0.499 0.249
Pm10 0.000 0.001 0.749
Ho1 0.000 0.500 0.000
Ho2 0.000 0.000 0.500
Er1 0.500 0.750 0.376
Er2 0.500 0.750 0.876
Er3 0.500 0.250 0.624
Er4 0.500 0.250 0.124

Output
DOS at the Fermi energy in states/eV/f.u.: 11.48
Polymorph energy (0 for the lowest one) in meV per atom: 0
Symmetry: No. 55
Formation energy in eV/atom: 0.017

---

- The lowest formation energy belongs to which entry?
  PmHo3Er8

---

- Which value of formation energy does entry 3 give?
  0.124 eV/atom

---

- Among the records above, which one has the lowest DOS at the Fermi energy?
  Pm2HoEr3

---

- Which formula does entry 5 have?
  Pm5Ho2Er2